The following is a DFT calculation (GGA-PBE) of an optimized crystal structure of CsGeI2Br.

Values from the calculation:
Formation energy from raw total energies (eV per atom): -0.90
E_tot (eV/atom): -2.952

Cell: 6.0068 6.0068 5.6094 Å, 90.00 90.00 90.00°
Element x y z (fractional)
Cs 0.0000 0.0000 0.0000
Ge 0.5000 0.5000 0.5000
I 0.0000 0.5000 0.5000
I 0.5000 0.0000 0.5000
Br 0.5000 0.5000 0.0000

---

The following is a DFT calculation (GGA-PBE) of an optimized crystal structure of Cs2GeI2Br2.

Values from the calculation:
Formation energy from raw total energies (eV per atom): -1.13
E_tot (eV/atom): -2.952

Cell: 9.3495 9.3495 8.0589 Å, 115.49 115.49 29.03°
Element x y z (fractional)
Cs 0.1619 0.1619 0.1654
Cs 0.8381 0.8381 0.8346
Ge 0.0000 0.0000 0.5000
I 0.4977 0.4977 0.2462
I 0.5023 0.5023 0.7538
Br 0.1730 0.1730 0.6664
Br 0.8270 0.8270 0.3336

---

The following is a DFT calculation (GGA-PBE) of an optimized crystal structure of Cs2GeIBr6.

Values from the calculation:
Formation energy from raw total energies (eV per atom): -0.91
E_tot (eV/atom): -2.698

Cell: 8.1812 8.1812 8.1812 Å, 118.59 118.59 92.45°
Element x y z (fractional)
Cs 0.2500 0.7500 0.5000
Cs 0.7500 0.2500 0.5000
Ge 0.0000 0.0000 0.0000
I 0.5000 0.5000 0.0000
Br 0.2177 0.2177 0.4354
Br 0.2177 0.7823 0.0000
Br 0.2296 0.2296 0.0000
Br 0.7704 0.7704 0.0000
Br 0.7823 0.2177 0.0000
Br 0.7823 0.7823 0.5646

---

The following is a DFT calculation (GGA-PBE) of an optimized crystal structure of CsIn2GeBr8.

Values from the calculation:
Formation energy from raw total energies (eV per atom): -0.83
E_tot (eV/atom): -2.855

Cell: 11.1781 11.1781 11.1781 Å, 37.60 37.60 37.60°
Element x y z (fractional)
Cs 0.0000 0.0000 0.0000
In 0.2450 0.2450 0.2450
In 0.7550 0.7550 0.7550
Ge 0.5000 0.5000 0.5000
Br 0.1351 0.4270 0.7771
Br 0.2229 0.8649 0.5730
Br 0.3285 0.3285 0.3285
Br 0.4270 0.7771 0.1351
Br 0.5730 0.2229 0.8649
Br 0.6715 0.6715 0.6715
Br 0.7771 0.1351 0.4270
Br 0.8649 0.5730 0.2229

---

Question: E_tot of number 3 (Cs2GeIBr6)?
Answer: -2.698 eV/atom